A plane-wave DFT calculation with GGA-PBE was carried out for a relaxed Cu3Ag7 crystal.

Unit cell a=10.2421 b=10.2421 c=3.9854 alpha=90.00 beta=90.00 gamma=157.09
Fractional coordinates of all 10 atoms:
Ag: 0.9056 0.0944 0.5000
Ag: 0.8040 0.1960 0.0000
Ag: 0.1960 0.8040 0.0000
Ag: 0.3043 0.6957 0.5000
Ag: 0.6957 0.3043 0.5000
Ag: 0.5000 0.5000 0.5000
Ag: 0.0944 0.9056 0.5000
Cu: 0.0000 0.0000 0.0000
Cu: 0.4051 0.5949 0.0000
Cu: 0.5949 0.4051 0.0000

Results
- energy relative to the elements (eV/atom) = 0.07
- ΔE to the lowest computed polymorph (meV per atom) = 46



A plane-wave DFT calculation with GGA-PBE was carried out for a relaxed CuAg crystal.

Unit cell a=7.3272 b=7.3272 c=7.6112 alpha=105.09 beta=105.09 gamma=21.99
Fractional coordinates of all 10 atoms:
Cu: 0.7998 0.7998 0.8998
Cu: 0.5920 0.5920 0.2954
Cu: 0.8056 0.8056 0.4033
Cu: 0.0016 0.0016 0.0096
Cu: 0.0015 0.0015 0.4918
Ag: 0.1997 0.1997 0.5833
Ag: 0.5978 0.5978 0.7990
Ag: 0.4014 0.4014 0.1982
Ag: 0.4008 0.4008 0.7035
Ag: 0.1997 0.1997 0.1162

Results
- energy relative to the elements (eV/atom) = 0.10



A plane-wave DFT calculation with GGA-PBE was carried out for a relaxed Cu3Ag5 crystal.

Unit cell a=2.8687 b=3.7997 c=11.5718 alpha=90.00 beta=90.00 gamma=90.00
Fractional coordinates of all 8 atoms:
Ag: 0.5000 0.5000 0.8630
Ag: 0.5000 0.5000 0.6209
Ag: 0.5000 0.5000 0.1370
Ag: 0.0000 0.0000 0.0000
Ag: 0.5000 0.5000 0.3791
Cu: 0.0000 0.0000 0.5000
Cu: 0.0000 0.0000 0.2594
Cu: 0.0000 0.0000 0.7406

Results
- energy relative to the elements (eV/atom) = 0.09
- ΔE to the lowest computed polymorph (meV per atom) = 49